1.
A plane-wave DFT calculation with GGA-PBE was carried out for a relaxed FeNiP2 crystal.

Properties
ΔH_f (0 K) (eV per atom): -0.256

Structure (CIF):
```
data_FeNiP2
_chemical_formula_sum 'Fe1 Ni1 P2'
_cell_length_a 5.920
_cell_length_b 5.920
_cell_length_c 5.920
_cell_angle_alpha 154.59
_cell_angle_beta 147.20
_cell_angle_gamma 41.94
_space_group_name_H-M_alt 'P 1'
_space_group_IT_number 1
loop_
_space_group_symop_operation_xyz
'x,y,z'
loop_
_atom_site_label
_atom_site_fract_x
_atom_site_fract_y
_atom_site_fract_z
Fe1 0.531 0.531 0.000
Ni1 0.307 0.807 0.500
P1 0.960 0.960 0.000
P2 0.702 0.202 0.500
```


2.
A plane-wave DFT calculation with GGA-PBE was carried out for a relaxed FeNi2P crystal.

Properties
ΔH_f (0 K) (eV per atom): -0.186

Structure (CIF):
```
data_FeNi2P
_chemical_formula_sum 'Fe1 Ni2 P1'
_cell_length_a 3.712
_cell_length_b 2.661
_cell_length_c 4.789
_cell_angle_alpha 73.55
_cell_angle_beta 90.00
_cell_angle_gamma 90.00
_space_group_name_H-M_alt 'P 1'
_space_group_IT_number 1
loop_
_space_group_symop_operation_xyz
'x,y,z'
loop_
_atom_site_label
_atom_site_fract_x
_atom_site_fract_y
_atom_site_fract_z
Fe1 0.500 0.750 0.750
Ni1 0.000 0.125 0.013
Ni2 0.000 0.375 0.487
P1 0.500 0.250 0.250
```


3.
A plane-wave DFT calculation with GGA-PBE was carried out for a relaxed FeNiP2 crystal.

Properties
ΔH_f (0 K) (eV per atom): -0.211

Structure (CIF):
```
data_FeNiP2
_chemical_formula_sum 'Fe1 Ni1 P2'
_cell_length_a 4.202
_cell_length_b 4.202
_cell_length_c 4.141
_cell_angle_alpha 76.12
_cell_angle_beta 76.12
_cell_angle_gamma 42.09
_space_group_name_H-M_alt 'P 1'
_space_group_IT_number 1
loop_
_space_group_symop_operation_xyz
'x,y,z'
loop_
_atom_site_label
_atom_site_fract_x
_atom_site_fract_y
_atom_site_fract_z
Fe1 0.481 0.481 0.552
Ni1 0.266 0.266 0.183
P1 0.996 0.996 0.105
P2 0.757 0.757 0.659
```